[1]
! La4Ag2Au PBE-GGA relaxed; values from VASP
&SYSTEM
  ibrav = 0, nat = 14, ntyp = 3
/
ATOMIC_SPECIES
La 138.91 La.upf
Ag 107.87 Ag.upf
Au 196.97 Au.upf
CELL_PARAMETERS angstrom
5.773 0.000 0.000
0.000 5.773 0.000
0.000 0.000 15.081
ATOMIC_POSITIONS angstrom
La 0.000 0.000 3.042
La 0.000 0.000 12.038
La 0.000 2.886 0.000
La 0.000 2.886 7.540
La 2.886 0.000 0.000
La 2.886 0.000 7.540
La 2.886 2.886 4.498
La 2.886 2.886 10.583
Ag 0.000 0.000 6.050
Ag 0.000 0.000 9.030
Ag 2.886 2.886 1.490
Ag 2.886 2.886 13.591
Au 0.000 0.000 0.000
Au 2.886 2.886 7.540
! Total magnetic moment: 1.50 μB per formula unit
! Energy above the most stable polymorph in this dataset: 19.0 kJ per mole of atoms

---

[2]
! Hf3AsBr PBE-GGA relaxed; values from VASP
&SYSTEM
  ibrav = 0, nat = 5, ntyp = 3
/
ATOMIC_SPECIES
Hf 178.49 Hf.upf
As 74.92 As.upf
Br 79.90 Br.upf
CELL_PARAMETERS angstrom
5.030 0.000 0.000
0.000 5.030 0.000
0.000 0.000 5.030
ATOMIC_POSITIONS angstrom
Hf 0.000 0.000 2.515
Hf 0.000 2.515 0.000
Hf 2.515 0.000 0.000
As 0.000 0.000 0.000
Br 2.515 2.515 2.515
! ΔE_f (raw): 544 meV per atom
! Total magnetic moment: 0.00 μB per formula unit
! Energy above the most stable polymorph in this dataset: 0.0 kJ per mole of atoms

---

[3]
! FeReBr2 PBE-GGA relaxed; values from VASP
&SYSTEM
  ibrav = 0, nat = 8, ntyp = 3
/
ATOMIC_SPECIES
Fe 55.84 Fe.upf
Re 186.21 Re.upf
Br 79.90 Br.upf
CELL_PARAMETERS angstrom
6.494 0.000 0.000
0.000 6.504 0.000
0.000 0.000 3.171
ATOMIC_POSITIONS angstrom
Fe 0.000 0.000 0.000
Fe 3.247 3.252 0.000
Re 0.000 3.252 0.000
Re 3.247 0.000 0.000
Br 1.623 1.626 1.585
Br 1.623 4.878 1.585
Br 4.870 1.626 1.585
Br 4.870 4.878 1.585
! ΔE_f (raw): 1276 meV per atom
! Total magnetic moment: 3.63 μB per formula unit
! Energy above the most stable polymorph in this dataset: 93.1 kJ per mole of atoms

---

[4]
! TlRe2Cl PBE-GGA relaxed; values from VASP
&SYSTEM
  ibrav = 0, nat = 8, ntyp = 3
/
ATOMIC_SPECIES
Tl 204.38 Tl.upf
Re 186.21 Re.upf
Cl 35.45 Cl.upf
CELL_PARAMETERS angstrom
2.842 0.000 0.000
0.000 5.256 0.000
0.000 0.000 9.391
ATOMIC_POSITIONS angstrom
Tl 0.000 0.000 0.000
Tl 1.421 2.628 0.000
Re 0.000 2.628 2.495
Re 0.000 2.628 6.896
Re 1.421 0.000 2.495
Re 1.421 0.000 6.896
Cl 0.000 0.000 4.695
Cl 1.421 2.628 4.695
! ΔE_f (raw): 1229 meV per atom
! Total magnetic moment: 0.00 μB per formula unit
! Energy above the most stable polymorph in this dataset: 97.4 kJ per mole of atoms

---

[5]
! BaZnCd2Bi PBE-GGA relaxed; values from VASP
&SYSTEM
  ibrav = 0, nat = 5, ntyp = 4
/
ATOMIC_SPECIES
Ba 137.33 Ba.upf
Zn 65.41 Zn.upf
Cd 112.41 Cd.upf
Bi 208.98 Bi.upf
CELL_PARAMETERS angstrom
5.240 0.000 0.000
0.000 5.240 0.000
0.000 0.000 5.728
ATOMIC_POSITIONS angstrom
Ba 0.000 0.000 0.000
Zn 2.620 2.620 2.864
Cd 0.000 2.620 2.864
Cd 2.620 0.000 2.864
Bi 2.620 2.620 0.000
! Energy: -9.84 eV per cell
! Total magnetic moment: 0.00 μB per formula unit

---

[6]
! Mg4TlIn7 PBE-GGA relaxed; values from VASP
&SYSTEM
  ibrav = 0, nat = 12, ntyp = 3
/
ATOMIC_SPECIES
Mg 24.30 Mg.upf
Tl 204.38 Tl.upf
In 114.82 In.upf
CELL_PARAMETERS angstrom
6.026 -2.880 0.000
6.026 2.880 0.000
-5.994 0.000 9.305
ATOMIC_POSITIONS angstrom
Mg -0.636 0.000 2.479
Mg -2.204 0.000 7.539
Mg 8.263 0.000 1.766
Mg 6.695 0.000 6.826
Tl 3.029 0.000 4.652
In -2.997 0.000 4.652
In 1.637 0.000 0.486
In -0.011 0.000 5.415
In 4.815 0.000 1.113
In 1.243 0.000 8.192
In 6.070 0.000 3.890
In 4.421 0.000 8.819
! Total magnetic moment: 0.00 μB per formula unit
! Energy above the most stable polymorph in this dataset: 7.6 kJ per mole of atoms